[1]
First-principles (PBE) data for a relaxed Tb4InGe2 crystal, as listed in Alexandria.

The structure in POSCAR format:
```
Tb4InGe2
1.0
0.000 6.425 4.497
6.393 0.000 4.497
6.393 6.425 0.000
Tb In Ge
8 2 4
direct
0.059 0.199 0.047
0.199 0.059 0.695
0.203 0.555 0.191
0.325 0.675 0.431
0.555 0.203 0.051
0.675 0.325 0.569
0.681 0.819 0.575
0.819 0.681 0.925
0.064 0.064 0.436
0.814 0.814 0.186
0.308 0.571 0.810
0.440 0.940 0.942
0.571 0.308 0.310
0.940 0.440 0.679
```

Computed properties:
Its size of the total moment is 0.00 μB per formula unit. Its volume is 185 Å³/f.u. Its space-group type is Fdd2, No. 43. For the calculated total energy, the calculation gives -69.96 eV/cell.



[2]
First-principles (PBE) data for a relaxed PmH2Cl crystal, as listed in Alexandria.

The structure in POSCAR format:
```
PmH2Cl
1.0
3.315 0.000 0.000
0.000 3.315 0.000
0.000 0.000 5.496
Pm H Cl
1 2 1
direct
0.000 0.000 0.000
0.500 0.500 0.175
0.500 0.500 0.825
0.000 0.000 0.500
```

Computed properties:
Its size of the total moment is 0.13 μB per formula unit. Its volume is 60 Å³/f.u. Its space-group type is P4/mmm, No. 123. For the calculated total energy, the calculation gives -15.08 eV/cell.



Which of these has the lowest volume?
PmH2Cl